[1]
PBE-GGA Ca2ScRh, relaxed; energy above the most stable polymorph in this dataset = 278.8 meV per atom; ρ = 3.7 Mg/m³; DFT formation energy = -6.3 kJ/mol of atoms
1.0
-0.6293 0.3048 -3.3074
-3.3179 -0.1934 0.6134
-0.3596 9.0258 0.9002
Sc Ca Rh
1 2 1
Cartesian
-2.2433 6.8251 -0.6718
-0.0213 0.5344 0.0533
-0.1585 3.9785 0.3968
-2.0635 2.3122 -1.1219

---

[2]
PBE-GGA Ca2ScRh2, relaxed; energy above the most stable polymorph in this dataset = 417.9 meV per atom; ρ = 4.9 Mg/m³; DFT formation energy = -2.5 kJ/mol of atoms
1.0
5.0171 -4.6642 1.5982
5.9079 0.8302 3.7266
-6.9305 1.1908 -0.1733
Ca Sc Rh
2 1 2
Cartesian
2.2200 0.0520 3.1078
1.7745 -2.6952 2.0437
0.0000 0.0000 0.0000
6.5332 -2.2927 3.1842
4.3919 -1.5412 2.1406

---

[3]
PBE-GGA CaSc2Rh2, relaxed; energy above the most stable polymorph in this dataset = 0.0 meV per atom; ρ = 5.6 Mg/m³; DFT formation energy = -65.8 kJ/mol of atoms
1.0
-0.0823 5.2420 5.8935
-7.5576 1.6342 -1.5591
-0.9149 -2.2954 2.0289
Sc Ca Rh
4 2 4
Cartesian
-5.3202 0.6450 0.8499
-6.9955 3.6194 3.4596
-3.2345 3.9357 5.5134
-1.5592 0.9614 2.9038
0.0000 0.0000 0.0000
-3.8199 3.4381 2.1672
-6.4604 3.2306 0.7418
-4.9749 5.5215 4.0035
-1.1795 3.6456 3.5926
-2.6650 1.3547 0.3309

---

[4]
PBE-GGA CaSc2Rh2, relaxed; energy above the most stable polymorph in this dataset = 30.8 meV per atom; ρ = 5.1 Mg/m³; DFT formation energy = -62.8 kJ/mol of atoms
1.0
4.3458 0.0000 0.0000
0.0000 4.3458 0.0000
2.1729 2.1729 5.7695
Sc Ca Rh
2 1 2
Cartesian
4.3458 2.1729 2.8848
2.1729 4.3458 2.8848
0.0000 0.0000 0.0000
2.1729 2.1729 1.3052
4.3458 4.3458 4.4644

---

[5]
PBE-GGA CaScRh2, relaxed; ρ = 6.5 Mg/m³; DFT formation energy = -43.9 kJ/mol of atoms
1.0
5.3674 -0.0092 -0.0201
4.4418 3.0133 -0.0201
1.1325 0.3468 4.5765
Sc Ca Rh
1 1 2
Cartesian
5.3620 1.6421 2.6091
2.7761 0.8502 0.8444
0.1788 0.0548 0.2230
8.0956 2.4793 3.1279

---

[6]
PBE-GGA Ca2ScRh, relaxed; energy above the most stable polymorph in this dataset = 0.0 meV per atom; ρ = 3.5 Mg/m³; DFT formation energy = -33.2 kJ/mol of atoms
1.0
-2.7347 1.8312 -1.1470
-0.8150 -2.5396 -2.1114
-6.0088 -6.2556 4.3389
Sc Ca Rh
1 2 1
Cartesian
-6.0741 -5.3841 0.5908
-5.8521 -6.1417 4.1471
-3.4475 -1.5556 0.4407
-3.6054 -4.5359 1.3544

---

[7]
PBE-GGA Ca2ScRh2, relaxed; energy above the most stable polymorph in this dataset = 0.0 meV per atom; ρ = 4.9 Mg/m³; DFT formation energy = -42.8 kJ/mol of atoms
1.0
-6.0487 3.3622 0.7459
-2.3245 -5.0981 4.1296
1.6852 2.2147 3.6827
Sc Ca Rh
2 4 4
Cartesian
0.0000 0.0000 0.0000
-4.1866 -0.8680 2.4377
-1.7443 -1.7370 4.7356
-5.1399 -0.8703 5.7682
-4.9438 2.2158 3.8225
-1.5482 1.3491 2.7900
-4.2402 -3.1871 3.8570
-6.7179 -0.3071 3.2587
-4.1331 1.4512 1.0185
-1.6554 -1.4288 1.6168

---

[8]
PBE-GGA CaSc3Rh, relaxed; energy above the most stable polymorph in this dataset = 1606.5 meV per atom; ρ = 4.2 Mg/m³; DFT formation energy = 129.7 kJ/mol of atoms
1.0
-0.0267 0.4155 -4.7705
-3.0263 -3.6985 -0.3051
-3.7110 3.0132 0.2832
Sc Ca Rh
3 1 1
Cartesian
-1.5132 -1.8493 -0.1526
-1.8555 1.5066 0.1416
-0.0134 0.2077 -2.3852
0.0000 0.0000 0.0000
-3.3820 -0.1349 -2.3962

---

[9]
PBE-GGA Ca2ScRh, relaxed; energy above the most stable polymorph in this dataset = 335.3 meV per atom; ρ = 4.0 Mg/m³; DFT formation energy = -0.9 kJ/mol of atoms
1.0
4.3772 0.0000 0.0000
0.0000 4.3839 0.0000
0.0000 0.0000 4.9777
Sc Ca Rh
1 2 1
Cartesian
0.0000 2.1919 2.4888
0.0000 0.0000 0.0000
2.1886 2.1919 0.0000
2.1886 0.0000 2.4888

---

[10]
PBE-GGA Ca2Sc2Rh, relaxed; ρ = 3.4 Mg/m³; DFT formation energy = -15.2 kJ/mol of atoms
1.0
-0.9004 -6.0845 2.9696
4.2284 1.8344 5.0405
-4.4784 2.1198 2.9855
Sc Ca Rh
4 4 2
Cartesian
3.2375 -0.5174 5.2239
2.0471 -3.8808 5.8263
0.0905 -3.7328 2.7862
1.2809 -0.3694 2.1838
0.4795 1.2051 5.4679
0.6074 -1.5864 7.6419
-1.6299 -3.3355 5.5277
-1.7578 -0.5440 3.3537
0.0000 0.0000 0.0000
1.6640 -2.1251 4.0051

---

[11]
PBE-GGA CaScRh2, relaxed; ρ = 6.0 Mg/m³; DFT formation energy = -27.4 kJ/mol of atoms
1.0
3.5924 0.0000 0.0000
0.0000 3.5924 0.0000
0.0000 0.0000 6.2630
Sc Ca Rh
1 1 2
Cartesian
0.0000 0.0000 2.5434
1.7962 1.7962 5.0040
0.0000 0.0000 0.0716
1.7962 1.7962 1.7756

---

[12]
PBE-GGA Ca2ScRhSe, relaxed; energy above the most stable polymorph in this dataset = 66.0 meV per atom; uncorrected formation energy = -0.0927 eV/atom; ρ = 3.6 Mg/m³
1.0
5.4348 0.0000 0.0000
0.0000 4.7836 0.0000
0.0000 0.0000 5.4348
Sc Ca Rh Se
1 2 1 1
Cartesian
2.7174 2.3918 2.7174
0.0000 0.0000 2.7174
2.7174 0.0000 0.0000
0.0000 0.0000 0.0000
0.0000 2.3918 0.0000

---

[13]
PBE-GGA Ca2ScRhSe, relaxed; energy above the most stable polymorph in this dataset = 0.0 meV per atom; uncorrected formation energy = -0.1587 eV/atom; ρ = 3.6 Mg/m³
1.0
-1.9049 -4.9413 1.2119
2.1502 0.2127 4.2472
-4.4582 2.2446 2.1446
Sc Ca Rh Se
1 2 1 1
Cartesian
-2.1064 -1.2419 3.8018
-2.2291 1.1223 1.0723
-0.9524 -2.4706 0.6059
1.0751 0.1064 2.1236
0.0000 0.0000 0.0000

---

[14]
PBE-GGA Ca2ScSn2Rh5, relaxed; ρ = 7.5 Mg/m³; DFT formation energy = -51.1 kJ/mol of atoms
1.0
3.5687 0.0000 0.0000
0.0000 10.4297 0.0000
0.0000 0.0000 10.4297
Ca Sc Sn Rh
4 2 4 10
Cartesian
0.0000 6.9744 1.7596
0.0000 3.4553 8.6701
0.0000 1.7596 3.4553
0.0000 8.6701 6.9744
0.0000 0.0000 0.0000
0.0000 5.2148 5.2148
0.0000 1.3651 6.5799
0.0000 9.0646 3.8498
0.0000 6.5799 9.0646
0.0000 3.8498 1.3651
1.7844 2.0367 0.6530
1.7844 8.3929 9.7767
1.7844 0.6530 8.3929
1.7844 7.2515 4.5618
1.7844 9.7767 2.0367
1.7844 3.1781 5.8678
1.7844 5.8678 7.2515
1.7844 4.5618 3.1781
1.7844 5.2148 0.0000
1.7844 0.0000 5.2148

---

[15]
PBE-GGA SrCaScRh2, relaxed; ρ = 4.8 Mg/m³; DFT formation energy = 103.6 kJ/mol of atoms
1.0
-4.7780 -0.2829 1.4774
1.5542 -0.2713 4.9745
-0.1929 4.9944 0.3326
Sc Sr Ca Rh
1 1 1 2
Cartesian
-1.7084 2.2201 3.3922
0.0000 0.0000 0.0000
0.7771 -0.1356 2.4872
-0.0964 2.4972 0.1663
-2.3890 -0.1415 0.7387

---

[16]
PBE-GGA SrCaSc2Rh, relaxed; ρ = 3.5 Mg/m³; DFT formation energy = -22.7 kJ/mol of atoms
1.0
-0.5411 0.7073 5.0656
-4.5377 -2.4168 -0.1473
2.6152 -4.9694 0.9732
Sc Sr Ca Rh
2 1 1 1
Cartesian
-2.2689 -1.2084 -0.0736
-0.2705 0.3536 2.5328
-1.2318 -3.3395 2.9458
1.3076 -2.4847 0.4866
0.0000 0.0000 0.0000

---

[17]
PBE-GGA Sr2CaScRh, relaxed; ρ = 3.3 Mg/m³; DFT formation energy = -12.2 kJ/mol of atoms
1.0
5.9869 0.0000 0.0000
0.0000 5.9869 0.0000
0.0000 0.0000 5.0637
Sc Sr Ca Rh
1 2 1 1
Cartesian
0.0000 0.0000 2.5319
0.0000 2.9934 0.0000
2.9934 0.0000 0.0000
2.9934 2.9934 2.5319
0.0000 0.0000 0.0000

---

[18]
PBE-GGA CaScTe2Rh, relaxed; uncorrected formation energy = 0.4716 eV/atom; ρ = 4.4 Mg/m³
1.0
5.3760 0.0000 0.0000
0.0000 5.7275 0.0000
0.0000 0.0000 5.3760
Sc Ca Te Rh
1 1 2 1
Cartesian
0.0000 0.0000 0.0000
0.0000 2.8637 0.0000
0.0000 0.0000 2.6880
2.6880 0.0000 0.0000
2.6880 2.8637 2.6880

---

[19]
PBE-GGA Ca2ScTlRh, relaxed; energy above the most stable polymorph in this dataset = 0.0 meV per atom; ρ = 4.3 Mg/m³; DFT formation energy = 30.8 kJ/mol of atoms
1.0
6.1326 0.0000 0.0000
0.0000 6.1326 0.0000
0.0000 0.0000 4.4818
Sc Tl Rh Ca
1 1 1 2
Cartesian
0.0000 0.0000 0.0000
3.0663 3.0663 2.2409
0.0000 0.0000 2.2409
0.0000 3.0663 0.0000
3.0663 0.0000 0.0000

---

[20]
PBE-GGA Ca2ScTlRh, relaxed; energy above the most stable polymorph in this dataset = 797.2 meV per atom; ρ = 4.2 Mg/m³; DFT formation energy = 107.8 kJ/mol of atoms
1.0
-0.3023 3.3135 4.6134
-0.5328 -4.2769 3.0370
5.6509 -0.2920 0.5800
Sc Tl Rh Ca
1 1 1 2
Cartesian
0.0000 0.0000 0.0000
-0.2664 -2.1385 1.5185
2.4079 -0.6277 4.1152
2.8254 -0.1460 0.2900
-0.1511 1.6568 2.3067

---

[21]
PBE-GGA CaRh2Se, relaxed; uncorrected formation energy = -0.2193 eV/atom; ρ = 7.6 Mg/m³
1.0
3.3394 0.0000 0.0000
0.0000 3.3386 0.0000
0.0000 0.0000 6.3503
Ca Rh Se
1 2 1
Cartesian
1.6697 1.6693 4.7627
0.0000 0.0000 0.2064
0.0000 0.0000 2.9688
1.6697 1.6693 1.5876

---

[22]
PBE-GGA CaRh2Se, relaxed; uncorrected formation energy = -0.4190 eV/atom; ρ = 6.7 Mg/m³
1.0
4.3297 -0.0175 0.0005
2.1833 3.7389 0.0005
2.1532 1.2303 4.9379
Ca Rh Se
1 2 1
Cartesian
2.1666 1.2379 1.2347
2.1569 1.2324 4.2132
4.3294 2.4738 3.1942
6.4997 3.7138 3.7042

---

[23]
PBE-GGA CaRhSe, relaxed; energy above the most stable polymorph in this dataset = 285.3 meV per atom; uncorrected formation energy = -0.6634 eV/atom; ρ = 5.8 Mg/m³
1.0
4.4851 0.0000 0.0000
2.2425 3.8842 0.0000
2.2425 1.2947 3.6621
Ca Rh Se
1 1 1
Cartesian
4.4851 2.5895 1.8310
6.7276 3.8842 2.7465
0.0000 0.0000 0.0000

---

[24]
PBE-GGA CaRh2Se, relaxed; uncorrected formation energy = -0.3162 eV/atom; ρ = 7.6 Mg/m³
1.0
5.2448 -0.0230 -0.0223
2.0727 4.8179 0.0223
-3.2358 -3.0429 2.7891
Ca Rh Se
1 2 1
Cartesian
1.2478 2.0863 1.4057
7.0755 4.6364 0.0000
3.9006 2.5560 0.0000
2.8338 -0.3342 1.3834

---

[25]
PBE-GGA CaRh2Se, relaxed; uncorrected formation energy = -0.4419 eV/atom; ρ = 6.7 Mg/m³
1.0
-2.4492 -3.6584 1.8790
0.8670 -2.8262 3.7649
-2.6373 1.7423 3.8688
Ca Rh Se
1 2 1
Cartesian
-1.0457 -1.2034 2.3700
-2.3118 1.2720 3.5039
-3.2191 -3.4788 7.1958
-2.3900 -1.9611 5.0682

---

[26]
PBE-GGA CaRh2Se, relaxed; uncorrected formation energy = -0.3710 eV/atom; ρ = 7.1 Mg/m³
1.0
3.9238 0.0000 0.0000
0.0000 3.9324 0.0240
0.0000 2.1312 4.9112
Ca Rh Se
1 2 1
Cartesian
1.9619 4.4595 3.5780
0.0000 0.1877 0.2667
1.9619 1.7715 1.1893
0.0000 2.6767 2.3688

---

[27]
PBE-GGA CaRh2Se, relaxed; uncorrected formation energy = -0.2406 eV/atom; ρ = 6.6 Mg/m³
1.0
7.4923 0.0000 0.0000
0.0000 7.4923 0.0000
3.7462 3.7462 2.9136
Ca Rh Se
2 4 2
Cartesian
3.7462 3.7462 0.0000
3.7462 7.4923 1.4568
6.2491 1.8731 0.7284
1.2432 5.6192 0.7284
5.6192 4.9893 2.1852
9.3654 9.9953 2.1852
0.0000 0.0000 0.0000
7.4923 3.7462 1.4568

---

[28]
PBE-GGA CaRh2Se, relaxed; uncorrected formation energy = -0.3291 eV/atom; ρ = 7.9 Mg/m³
1.0
-3.7477 1.5687 -1.0819
-1.8143 -3.6689 0.9653
-0.5360 1.2182 3.6230
Ca Rh Se
1 2 1
Cartesian
-1.1752 -1.2253 2.2941
0.0000 0.0000 0.0000
-2.7810 -1.0501 -0.0583
-2.1419 1.3934 1.2705